# 1
Entry from Alexandria via LeMat-Bulk: a geometry-optimized PtIO2F structure (PBE).

Calculated values
space-group type = P4/mmm, No. 123

CIF file:
```
data_PtIO2F
_chemical_formula_sum 'Pt1 I1 O2 F1'
_symmetry_space_group_name_H-M 'P 1'
_symmetry_Int_Tables_number 1
_symmetry_space_group_name_Hall 'P 1'
_cell_length_a 3.743
_cell_length_b 3.743
_cell_length_c 8.057
_cell_angle_alpha 90.00
_cell_angle_beta 90.00
_cell_angle_gamma 90.00
loop_
_atom_site_label
_atom_site_fract_x
_atom_site_fract_y
_atom_site_fract_z
_atom_site_occupancy
I1 0.000 0.000 0.500 1
O1 0.000 0.500 0.000 1
O2 0.500 0.000 0.000 1
Pt1 0.000 0.000 0.000 1
F1 0.500 0.500 0.500 1
```


# 2
Entry from Alexandria via LeMat-Bulk: a geometry-optimized PtIOF2 structure (PBE).

Calculated values
energy above the most stable polymorph in this dataset = 558.5 meV/atom
space-group type = P4/mmm, No. 123

CIF file:
```
data_PtIOF2
_chemical_formula_sum 'Pt1 I1 O1 F2'
_symmetry_space_group_name_H-M 'P 1'
_symmetry_Int_Tables_number 1
_symmetry_space_group_name_Hall 'P 1'
_cell_length_a 4.737
_cell_length_b 3.989
_cell_length_c 4.737
_cell_angle_alpha 90.00
_cell_angle_beta 90.00
_cell_angle_gamma 90.00
loop_
_atom_site_label
_atom_site_fract_x
_atom_site_fract_y
_atom_site_fract_z
_atom_site_occupancy
I1 0.000 0.000 0.000 1
O1 0.000 0.500 0.000 1
Pt1 0.500 0.500 0.500 1
F1 0.000 0.000 0.500 1
F2 0.500 0.000 0.000 1
```


# 3
Entry from Alexandria via LeMat-Bulk: a geometry-optimized PuI2O5F4 structure (PBE).

Calculated values
space-group type = Amm2, No. 38

CIF file:
```
data_PuI2O5F4
_chemical_formula_sum 'Pu1 I2 O5 F4'
_symmetry_space_group_name_H-M 'P 1'
_symmetry_Int_Tables_number 1
_symmetry_space_group_name_Hall 'P 1'
_cell_length_a 5.366
_cell_length_b 6.771
_cell_length_c 6.710
_cell_angle_alpha 90.00
_cell_angle_beta 90.00
_cell_angle_gamma 113.34
loop_
_atom_site_label
_atom_site_fract_x
_atom_site_fract_y
_atom_site_fract_z
_atom_site_occupancy
Pu1 0.607 0.000 0.000 1
I1 0.987 0.699 0.500 1
I2 0.288 0.301 0.500 1
O1 0.129 0.382 0.297 1
O2 0.021 0.000 0.500 1
O3 0.129 0.382 0.703 1
O4 0.748 0.618 0.703 1
O5 0.748 0.618 0.297 1
F1 0.542 0.000 0.303 1
F2 0.542 0.000 0.697 1
F3 0.445 0.226 0.000 1
F4 0.219 0.774 0.000 1
```


# 4
Entry from Alexandria via LeMat-Bulk: a geometry-optimized RbIO2F structure (PBE).

Calculated values
space-group type = P4/mmm, No. 123

CIF file:
```
data_RbIO2F
_chemical_formula_sum 'Rb1 I1 O2 F1'
_symmetry_space_group_name_H-M 'P 1'
_symmetry_Int_Tables_number 1
_symmetry_space_group_name_Hall 'P 1'
_cell_length_a 5.051
_cell_length_b 5.051
_cell_length_c 7.594
_cell_angle_alpha 90.00
_cell_angle_beta 90.00
_cell_angle_gamma 90.00
loop_
_atom_site_label
_atom_site_fract_x
_atom_site_fract_y
_atom_site_fract_z
_atom_site_occupancy
I1 0.000 0.000 0.500 1
O1 0.000 0.500 0.000 1
O2 0.500 0.000 0.000 1
Rb1 0.000 0.000 0.000 1
F1 0.500 0.500 0.500 1
```


# 5
Entry from Alexandria via LeMat-Bulk: a geometry-optimized RbIO2F structure (PBE).

Calculated values
space-group type = P4/mmm, No. 123

CIF file:
```
data_RbIO2F
_chemical_formula_sum 'Rb1 I1 O2 F1'
_symmetry_space_group_name_H-M 'P 1'
_symmetry_Int_Tables_number 1
_symmetry_space_group_name_Hall 'P 1'
_cell_length_a 4.535
_cell_length_b 4.535
_cell_length_c 4.903
_cell_angle_alpha 90.00
_cell_angle_beta 90.00
_cell_angle_gamma 90.00
loop_
_atom_site_label
_atom_site_fract_x
_atom_site_fract_y
_atom_site_fract_z
_atom_site_occupancy
I1 0.500 0.500 0.500 1
O1 0.000 0.500 0.000 1
O2 0.500 0.000 0.000 1
Rb1 0.000 0.000 0.000 1
F1 0.000 0.000 0.500 1
```


# 6
Entry from Alexandria via LeMat-Bulk: a geometry-optimized RbIO2F structure (PBE).

Calculated values
space-group type = P4/mmm, No. 123

CIF file:
```
data_RbIO2F
_chemical_formula_sum 'Rb1 I1 O2 F1'
_symmetry_space_group_name_H-M 'P 1'
_symmetry_Int_Tables_number 1
_symmetry_space_group_name_Hall 'P 1'
_cell_length_a 4.100
_cell_length_b 4.100
_cell_length_c 5.572
_cell_angle_alpha 90.00
_cell_angle_beta 90.00
_cell_angle_gamma 90.00
loop_
_atom_site_label
_atom_site_fract_x
_atom_site_fract_y
_atom_site_fract_z
_atom_site_occupancy
I1 0.000 0.000 0.000 1
O1 0.000 0.500 0.000 1
O2 0.500 0.000 0.000 1
Rb1 0.500 0.500 0.500 1
F1 0.000 0.000 0.500 1
```


# 7
Entry from Alexandria via LeMat-Bulk: a geometry-optimized Rb5IO4F2 structure (PBE).

Calculated values
space-group type = Amm2, No. 38

CIF file:
```
data_Rb5IO4F2
_chemical_formula_sum 'Rb5 I1 O4 F2'
_symmetry_space_group_name_H-M 'P 1'
_symmetry_Int_Tables_number 1
_symmetry_space_group_name_Hall 'P 1'
_cell_length_a 7.007
_cell_length_b 7.138
_cell_length_c 7.539
_cell_angle_alpha 90.00
_cell_angle_beta 90.00
_cell_angle_gamma 119.39
loop_
_atom_site_label
_atom_site_fract_x
_atom_site_fract_y
_atom_site_fract_z
_atom_site_occupancy
Rb1 0.002 0.395 0.247 1
Rb2 0.336 0.000 0.500 1
Rb3 0.002 0.395 0.753 1
Rb4 0.607 0.605 0.753 1
Rb5 0.607 0.605 0.247 1
I1 0.464 0.000 0.000 1
O1 0.618 0.000 0.204 1
O2 0.618 0.000 0.796 1
O3 0.627 0.317 0.000 1
O4 0.310 0.683 0.000 1
F1 0.927 0.639 0.500 1
F2 0.288 0.361 0.500 1
```


# 8
Entry from Alexandria via LeMat-Bulk: a geometry-optimized Rb2IO4F2 structure (PBE).

Calculated values
space-group type = C2/m, No. 12

CIF file:
```
data_Rb2IO4F2
_chemical_formula_sum 'Rb2 I1 O4 F2'
_symmetry_space_group_name_H-M 'P 1'
_symmetry_Int_Tables_number 1
_symmetry_space_group_name_Hall 'P 1'
_cell_length_a 5.115
_cell_length_b 6.147
_cell_length_c 6.147
_cell_angle_alpha 59.35
_cell_angle_beta 92.23
_cell_angle_gamma 92.23
loop_
_atom_site_label
_atom_site_fract_x
_atom_site_fract_y
_atom_site_fract_z
_atom_site_occupancy
Rb1 0.195 0.661 0.661 1
Rb2 0.805 0.339 0.339 1
I1 0.500 0.000 0.000 1
O1 0.296 0.709 0.141 1
O2 0.704 0.859 0.291 1
O3 0.704 0.291 0.859 1
O4 0.296 0.141 0.709 1
F1 0.282 0.150 0.150 1
F2 0.718 0.850 0.850 1
```


Q: Which size of the total moment values were calculated for the entries above? A: 0.000, 0.110, 0.333, 1.000, 0.000, 0.000, 0.005, 0.110, in μB per atom.
Q: Which raw formation energy values were calculated for the entries above? A: -136, 328, -1352, 597, 588, -1043, -1614, -1205, in meV per atom.